Entry from OQMD: an optimized crystal structure of BeFe2Si (PBE).

SG	Fm-3m
total DFT energy (no corrections)	-6.8498	eV/atom
total magnetic moment	6.7	Bohr magnetons per cell

Cell: 3.803 5.378 11.410 Å, 90.00 90.00 90.00°
Element x y z (fractional)
1 Fe 0.000 0.250 0.167
2 Fe 0.000 0.250 0.833
3 Fe 0.000 0.750 0.167
4 Fe 0.500 0.750 0.000
5 Fe 0.500 0.750 0.333
6 Fe 0.000 0.750 0.833
7 Fe 0.500 0.750 0.667
8 Fe 0.500 0.250 0.333
9 Fe 0.000 0.750 0.500
10 Fe 0.000 0.250 0.500
11 Fe 0.500 0.250 0.667
12 Fe 0.500 0.250 0.000
13 Be 0.499 0.500 0.167
14 Be 0.001 0.000 0.667
15 Be 0.501 0.500 0.833
16 Be 0.000 0.000 0.000
17 Be 0.999 0.000 0.333
18 Be 0.500 0.500 0.500
19 Si 0.500 0.000 0.167
20 Si 0.000 0.500 0.000
21 Si 0.500 0.000 0.500
22 Si 0.000 0.500 0.667
23 Si 0.000 0.500 0.333
24 Si 0.500 0.000 0.833